Computed, not measured: crystalline NaPuAg2Cl6 at its relaxed geometry at the PBE level of DFT.

Structure (POSCAR):
```
NaPuAg2Cl6
1.0
-6.282 1.975 2.405
0.448 -4.219 -5.578
3.909 -5.036 4.123
Cl Na Ag Pu
6 1 2 1
Cartesian
-4.155 -2.763 -1.229
0.008 -6.421 -0.844
2.117 -4.312 2.026
-2.049 -0.654 1.636
0.098 -2.535 -0.784
-2.135 -4.541 1.580
-4.160 -2.555 1.603
-1.908 -4.218 -1.362
-0.131 -2.858 2.155
-1.981 -7.178 0.873
```

Computed properties:
- SG: R3
- E_form (uncorrected): -1.289 eV per atom
- DFT total energy: -45.32 eV/cell
- Size of the total moment: 5.0 μB/cell

---

Computed, not measured: crystalline Na2PuAgCl8 at its relaxed geometry at the PBE level of DFT.

Structure (POSCAR):
```
Na2PuAgCl8
1.0
6.486 -0.318 -0.005
-0.361 6.264 -0.004
0.003 0.010 8.563
Cl Ag Na Pu
8 1 2 1
Cartesian
1.863 1.564 4.279
0.721 4.876 6.704
0.721 4.866 1.850
2.043 1.555 -0.002
4.266 4.393 4.275
5.408 1.081 1.851
4.085 4.401 8.557
5.407 1.090 6.705
0.002 0.005 4.282
3.064 2.981 6.285
3.064 2.976 2.269
0.000 0.000 0.000
```

Computed properties:
- SG: P2/m
- E_form (uncorrected): -1.362 eV per atom
- DFT total energy: -50.93 eV/cell
- Size of the total moment: 3.2 μB/cell